Record 1
The following is a DFT calculation (PBE) of an optimized crystal structure of Ac2PrSb.

The value obtained for the density is 8.193 g cm⁻³. For the polymorph energy (0 for the lowest one), the calculation gives 262 meV/atom. The value obtained for the total moment is 1.72 Bohr magnetons per cell.

Lattice parameters (Å, degrees): 8.3445 8.3445 8.3445 90.00 90.00 90.00
Space group Fm-3m (No. 225)
Asymmetric unit:
Ac 0.2500 0.2500 0.2500 x8
Pr 0.0000 0.0000 0.0000 x4
Sb 0.0000 0.0000 0.5000 x4

***

Record 2
The following is a DFT calculation (PBE) of an optimized crystal structure of CoSb2As.

The value obtained for the density is 7.756 g cm⁻³. The total DFT energy (no corrections) is -4.505 eV/atom. The value obtained for the total moment is 1.00 Bohr magnetons per cell.

Lattice parameters (Å, degrees): 3.3012 4.9189 4.9754 90.00 90.00 90.00
Space group Pmmm (No. 47)
Asymmetric unit:
Co 0.0000 0.0000 0.0000 x1
Sb 0.5000 0.0000 0.5000 x1
Sb 0.5000 0.5000 0.0000 x1
As 0.0000 0.5000 0.5000 x1

***

Copy entry 2 word for word.
The following is a DFT calculation (PBE) of an optimized crystal structure of CoSb2As.

The value obtained for the density is 7.756 g cm⁻³. The total DFT energy (no corrections) is -4.505 eV/atom. The value obtained for the total moment is 1.00 Bohr magnetons per cell.

Lattice parameters (Å, degrees): 3.3012 4.9189 4.9754 90.00 90.00 90.00
Space group Pmmm (No. 47)
Asymmetric unit:
Co 0.0000 0.0000 0.0000 x1
Sb 0.5000 0.0000 0.5000 x1
Sb 0.5000 0.5000 0.0000 x1
As 0.0000 0.5000 0.5000 x1

***

Q: Which of these has the lowest total moment?
A: CoSb2As

***

Q: The highest total moment belongs to which entry?
A: Ac2PrSb